Sm8Ho3 | Alexandria via LeMat-Bulk | PBE | relaxed; energy relative to the elements = 0.3680 eV/atom; DOS(E_F) = 12.09 states/eV per cell; space group = R-3
1.0
7.326 -0.216 -1.866
-2.349 6.942 -1.866
-0.160 -0.216 7.558
Ho Sm
3 8
Cartesian
3.583 -0.216 2.846
2.329 3.147 5.692
-1.254 3.363 2.846
1.017 0.313 4.699
0.239 5.446 4.888
3.521 4.759 2.797
1.296 1.751 1.029
5.924 1.822 3.899
-1.107 4.689 -0.073
3.800 6.198 -0.873
4.578 1.064 -1.062